! PBE+U NiBi2ClO4, optimized geometry; values from VASP
&SYSTEM
  ibrav = 0, nat = 8, ntyp = 4
/
ATOMIC_SPECIES
Ni 58.69 Ni.upf
Bi 208.98 Bi.upf
Cl 35.45 Cl.upf
O 16.00 O.upf
ATOMIC_POSITIONS crystal
Ni 0.000 0.000 0.000
Bi 0.500 0.500 0.269
Bi 0.500 0.500 0.731
Cl 0.000 0.000 0.500
O 0.000 0.500 0.137
O 0.000 0.500 0.863
O 0.500 0.000 0.137
O 0.500 0.000 0.863
CELL_PARAMETERS angstrom
3.753 0.000 0.000
0.000 3.753 0.000
0.000 0.000 8.921
! DOS(E_F), states/eV/atom: 0.07
! SG: No. 123
! Electronic total energy, eV per atom: -4.898